# GdLuMg4 (PBE, relaxed)
# N(E_F): 1.1115 states/eV/atom
# Formation energy: -65 meV/atom
# Calculated volume: 25.7 Å³/atom
data_GdLuMg4
_space_group_name_H-M_alt 'F -4 3 m'
_space_group_IT_number 216
_space_group_name_Hall 'F -4 2 3'
_cell_length_a 8.509
_cell_length_b 8.509
_cell_length_c 8.509
_cell_angle_alpha 90.00
_cell_angle_beta 90.00
_cell_angle_gamma 90.00
loop_
_atom_site_label
_atom_site_fract_x
_atom_site_fract_y
_atom_site_fract_z
Gd1 0.000 0.000 0.000
Lu1 0.250 0.250 0.750
Mg1 0.125 0.125 0.375